--- w ---
Compound: HgTePtO
Source: OQMD
Functional: PBE
Structure: optimized geometry

Summary:
Space-group type: P4/nmm, No. 129
ρ in g/cm³: 11.02

Cell lengths 4.3031, 4.3031, 8.7735 Å; angles 90.00, 90.00, 90.00 degrees
Positions (direct):
Hg 0.7500 0.7500 0.1949
Hg 0.2500 0.2500 0.8051
O 0.7500 0.2500 0.5000
O 0.2500 0.7500 0.5000
Pt 0.2500 0.2500 0.4677
Pt 0.7500 0.7500 0.5323
Te 0.2500 0.2500 0.1649
Te 0.7500 0.7500 0.8351

=====

--- x ---
Compound: HgTePtO
Source: OQMD
Functional: PBE
Structure: optimized geometry

Summary:
Space-group type: P4/nmm, No. 129
ρ in g/cm³: 9.95

Cell lengths 4.7035, 4.7035, 8.1384 Å; angles 90.00, 90.00, 90.00 degrees
Positions (direct):
Hg 0.7500 0.7500 0.1756
Hg 0.2500 0.2500 0.8244
O 0.2500 0.2500 0.0927
O 0.7500 0.7500 0.9073
Pt 0.2500 0.2500 0.3309
Pt 0.7500 0.7500 0.6691
Te 0.7500 0.2500 0.5000
Te 0.2500 0.7500 0.5000

=====

--- y ---
Compound: HgTePtO
Source: OQMD
Functional: PBE
Structure: optimized geometry

Summary:
Space-group type: Pca2_1, No. 29
ρ in g/cm³: 11.14

Cell lengths 5.6460, 5.6520, 10.0791 Å; angles 90.00, 90.00, 90.00 degrees
Positions (direct):
Hg 0.4521 0.1394 0.0505
Hg 0.9521 0.3606 0.0505
Hg 0.4521 0.6394 0.9495
Hg 0.9521 0.8606 0.9495
O 0.1110 0.0162 0.1582
O 0.6110 0.4838 0.1582
O 0.1110 0.5162 0.8417
O 0.6110 0.9838 0.8417
Pt 0.0938 0.0000 0.3614
Pt 0.5938 0.4999 0.3614
Pt 0.5938 0.0000 0.6386
Pt 0.0938 0.5001 0.6386
Te 0.0931 0.5011 0.3800
Te 0.5931 0.9989 0.3800
Te 0.0931 0.0011 0.6200
Te 0.5931 0.4989 0.6200

=====

--- z ---
Compound: HgTePtO
Source: OQMD
Functional: PBE
Structure: optimized geometry

Summary:
Space-group type: P4/nmm, No. 129
ρ in g/cm³: 12.05

Cell lengths 4.0512, 4.0512, 9.0529 Å; angles 90.00, 90.00, 90.00 degrees
Positions (direct):
Hg 0.7500 0.2500 0.0000
Hg 0.2500 0.7500 0.0000
O 0.7500 0.7500 0.4748
O 0.2500 0.2500 0.5252
Pt 0.7500 0.7500 0.2382
Pt 0.2500 0.2500 0.7618
Te 0.2500 0.2500 0.3167
Te 0.7500 0.7500 0.6833

=====

Which of them is least stable? Easy: x.

=====

--- w ---
Compound: Hg2SO
Source: OQMD
Functional: PBE
Structure: optimized geometry

Summary:
Space-group type: Pnma, No. 62
ρ in g/cm³: 9.02

Cell lengths 6.1165, 3.7971, 14.2405 Å; angles 90.00, 90.00, 90.00 degrees
Positions (direct):
Hg 0.1912 0.7500 0.0916
Hg 0.6894 0.2500 0.1798
Hg 0.1894 0.2500 0.3202
Hg 0.6912 0.7500 0.4084
Hg 0.3088 0.2500 0.5916
Hg 0.8106 0.7500 0.6798
Hg 0.3106 0.7500 0.8202
Hg 0.8088 0.2500 0.9084
O 0.2991 0.2500 0.1729
O 0.7991 0.2500 0.3271
O 0.2009 0.7500 0.6729
O 0.7009 0.7500 0.8271
S 0.7706 0.7500 0.0620
S 0.2706 0.7500 0.4380
S 0.7294 0.2500 0.5620
S 0.2294 0.2500 0.9380

=====

--- x ---
Compound: Hg2SO
Source: OQMD
Functional: PBE
Structure: optimized geometry

Summary:
Space-group type: Cmcm, No. 63
ρ in g/cm³: 10.18

Cell lengths 3.5920, 6.0840, 6.9439 Å; angles 90.00, 75.01, 90.00 degrees
Positions (direct):
Hg 0.4278 0.7500 0.1443
Hg 0.8599 0.2500 0.2802
Hg 0.1401 0.7500 0.7198
Hg 0.5721 0.2500 0.8557
O 0.0000 0.0000 0.0000
O 0.0000 0.5000 0.0000
S 0.7804 0.7500 0.4391
S 0.2196 0.2500 0.5609

=====

--- y ---
Compound: Hg2SO
Source: OQMD
Functional: PBE
Structure: optimized geometry

Summary:
Space-group type: P6_3mc, No. 186
ρ in g/cm³: 9.31

Cell lengths 3.8592, 3.8597, 12.4190 Å; angles 90.00, 90.00, 120.00 degrees
Positions (direct):
Hg 0.3333 0.6666 0.2583
Hg 0.0000 0.0000 0.4979
Hg 0.6667 0.3334 0.7583
Hg 0.0000 0.0000 0.9979
O 0.0000 0.0000 0.3221
O 0.0000 0.0000 0.8221
S 0.6667 0.3334 0.1094
S 0.3333 0.6666 0.6094

=====

Which of them is least stable? Easy: x.

=====

--- w ---
Compound: Hg2SO
Source: OQMD
Functional: PBE
Structure: optimized geometry

Summary:
Space-group type: Cmc2_1, No. 36
ρ in g/cm³: 9.09

Cell lengths 7.2770, 7.2770, 6.1977 Å; angles 90.00, 90.00, 149.98 degrees
Positions (direct):
Hg 0.5645 0.4355 0.4132
Hg 0.8307 0.1693 0.4310
Hg 0.4355 0.5645 0.9132
Hg 0.1693 0.8307 0.9310
O 0.5822 0.4178 0.0349
O 0.4178 0.5822 0.5349
S 0.8157 0.1843 0.0135
S 0.1843 0.8157 0.5135

=====

--- x ---
Compound: Hg2SO
Source: OQMD
Functional: PBE
Structure: optimized geometry

Summary:
Space-group type: P2_1, No. 4
ρ in g/cm³: 6.61

Cell lengths 6.6084, 6.5416, 10.4427 Å; angles 90.00, 90.28, 90.00 degrees
Positions (direct):
Hg 0.5010 0.8657 0.0012
Hg 0.9939 0.7966 0.0129
Hg 0.8173 0.3295 0.3010
Hg 0.3011 0.1203 0.4414
Hg 0.6989 0.6203 0.5586
Hg 0.1827 0.8295 0.6990
Hg 0.0061 0.2966 0.9871
Hg 0.4990 0.3657 0.9988
O 0.6494 0.1163 0.0688
O 0.8605 0.5345 0.0808
O 0.1395 0.0345 0.9192
O 0.3506 0.6163 0.9312
S 0.0959 0.1118 0.2546
S 0.5299 0.5251 0.3655
S 0.4701 0.0251 0.6345
S 0.9041 0.6118 0.7454

=====

Which of them is least stable? Easy: w.

=====

--- w ---
Compound: HgSbSO
Source: OQMD
Functional: PBE
Structure: optimized geometry

Summary:
Space-group type: P4/nmm, No. 129
ρ in g/cm³: 8.17

Cell lengths 3.8935, 3.8935, 9.9343 Å; angles 90.00, 90.00, 90.00 degrees
Positions (direct):
Hg 0.7500 0.2500 0.5000
Hg 0.2500 0.7500 0.5000
O 0.7500 0.2500 0.0000
O 0.2500 0.7500 0.0000
S 0.7500 0.7500 0.2596
S 0.2500 0.2500 0.7404
Sb 0.2500 0.2500 0.1216
Sb 0.7500 0.7500 0.8784

=====

--- x ---
Compound: HgSbSO
Source: OQMD
Functional: PBE
Structure: optimized geometry

Summary:
Space-group type: P2_1/c, No. 14
ρ in g/cm³: 7.49

Cell lengths 6.9273, 7.8352, 6.0592 Å; angles 90.00, 92.31, 90.00 degrees
Positions (direct):
Hg 0.9531 0.2545 0.0049
Hg 0.0469 0.7545 0.4951
Hg 0.9531 0.2455 0.5049
Hg 0.0469 0.7455 0.9951
O 0.5873 0.2762 0.0216
O 0.4127 0.7762 0.4784
O 0.5873 0.2238 0.5216
O 0.4127 0.7238 0.9784
S 0.7626 0.9353 0.2251
S 0.2374 0.4353 0.2749
S 0.7626 0.5647 0.7251
S 0.2374 0.0647 0.7749
Sb 0.4438 0.1348 0.2446
Sb 0.5562 0.6348 0.2554
Sb 0.4438 0.3652 0.7446
Sb 0.5562 0.8652 0.7554

=====

--- y ---
Compound: HgSbSO
Source: OQMD
Functional: PBE
Structure: optimized geometry

Summary:
Space-group type: P2_1, No. 4
ρ in g/cm³: 7.05

Cell lengths 5.6313, 5.4541, 11.4741 Å; angles 90.00, 98.19, 90.00 degrees
Positions (direct):
Hg 0.8187 0.2837 0.3977
Hg 0.3929 0.8820 0.4124
Hg 0.6071 0.3820 0.5876
Hg 0.1813 0.7837 0.6023
O 0.7237 0.4763 0.0150
O 0.7406 0.9539 0.0160
O 0.2594 0.4539 0.9840
O 0.2763 0.9763 0.9850
S 0.0934 0.1635 0.2552
S 0.6162 0.6814 0.2574
S 0.3838 0.1814 0.7426
S 0.9066 0.6635 0.7448
Sb 0.5102 0.2196 0.0930
Sb 0.9546 0.7394 0.1372
Sb 0.0454 0.2394 0.8628
Sb 0.4898 0.7196 0.9070

=====

--- z ---
Compound: HgSbSO
Source: OQMD
Functional: PBE
Structure: optimized geometry

Summary:
Space-group type: Pca2_1, No. 29
ρ in g/cm³: 6.89

Cell lengths 5.6997, 11.0714, 5.6613 Å; angles 90.00, 90.00, 90.00 degrees
Positions (direct):
Hg 0.1274 0.0490 0.4479
Hg 0.6274 0.9510 0.4479
Hg 0.3726 0.0490 0.9479
Hg 0.8726 0.9510 0.9479
O 0.0249 0.1597 0.0993
O 0.5249 0.8403 0.0993
O 0.4751 0.1597 0.5993
O 0.9751 0.8403 0.5993
S 0.5424 0.3469 0.1249
S 0.0424 0.6531 0.1249
S 0.9576 0.3469 0.6249
S 0.4576 0.6531 0.6249
Sb 0.9869 0.3362 0.0779
Sb 0.4869 0.6638 0.0779
Sb 0.5131 0.3362 0.5779
Sb 0.0131 0.6638 0.5779

=====

Which of them is least stable? Easy: z.

=====

--- w ---
Compound: ScHgSO
Source: OQMD
Functional: PBE
Structure: optimized geometry

Summary:
Space-group type: P4/nmm, No. 129
ρ in g/cm³: 6.87

Cell lengths 3.8120, 3.8120, 9.7717 Å; angles 90.00, 90.00, 90.00 degrees
Positions (direct):
Hg 0.7500 0.2500 0.5000
Hg 0.2500 0.7500 0.5000
O 0.7500 0.2500 0.0000
O 0.2500 0.7500 0.0000
S 0.7500 0.7500 0.2513
S 0.2500 0.2500 0.7487
Sc 0.2500 0.2500 0.0959
Sc 0.7500 0.7500 0.9041

=====

--- x ---
Compound: ScHgSO
Source: OQMD
Functional: PBE
Structure: optimized geometry

Summary:
Space-group type: Pca2_1, No. 29
ρ in g/cm³: 5.68

Cell lengths 5.0628, 8.0871, 8.3824 Å; angles 90.00, 90.00, 90.00 degrees
Positions (direct):
Hg 0.0437 0.6069 0.1602
Hg 0.5436 0.6070 0.3399
Hg 0.0437 0.3931 0.6602
Hg 0.5436 0.3930 0.8399
O 0.8886 0.3699 0.0358
O 0.3886 0.3698 0.4642
O 0.8886 0.6301 0.5358
O 0.3886 0.6302 0.9642
S 0.4081 0.0976 0.1069
S 0.9081 0.0975 0.3931
S 0.4081 0.9024 0.6069
S 0.9081 0.9024 0.8931
Sc 0.9096 0.1488 0.0900
Sc 0.4096 0.1488 0.4100
Sc 0.9096 0.8512 0.5900
Sc 0.4096 0.8512 0.9100

=====

Which of them is least stable? Easy: x.

=====

--- w ---
Compound: ScHgSO
Source: OQMD
Functional: PBE
Structure: optimized geometry

Summary:
Space-group type: Pmc2_1, No. 26
ρ in g/cm³: 5.16

Cell lengths 4.1514, 8.3902, 5.4213 Å; angles 90.00, 90.00, 90.00 degrees
Positions (direct):
Hg 0.0000 0.3133 0.1120
Hg 0.0000 0.6867 0.6120
O 0.5000 0.0694 0.2122
O 0.5000 0.9306 0.7122
S 0.0000 0.6946 0.1177
S 0.0000 0.3054 0.6177
Sc 0.5000 0.8680 0.0491
Sc 0.5000 0.1320 0.5491

=====

--- x ---
Compound: ScHgSO
Source: OQMD
Functional: PBE
Structure: optimized geometry

Summary:
Space-group type: P2_1/c, No. 14
ρ in g/cm³: 5.81

Cell lengths 8.0887, 6.7887, 6.1316 Å; angles 90.00, 94.18, 90.00 degrees
Positions (direct):
Hg 0.1108 0.6362 0.0243
Hg 0.8892 0.1362 0.4757
Hg 0.1108 0.8638 0.5243
Hg 0.8892 0.3638 0.9757
O 0.4074 0.3684 0.0972
O 0.5926 0.8683 0.4028
O 0.4074 0.1317 0.5972
O 0.5926 0.6317 0.9028
S 0.2960 0.9159 0.0306
S 0.7040 0.4159 0.4694
S 0.2960 0.5841 0.5306
S 0.7040 0.0841 0.9694
Sc 0.5097 0.6407 0.2007
Sc 0.4903 0.1407 0.2993
Sc 0.5097 0.8593 0.7007
Sc 0.4903 0.3593 0.7993

=====

Which of them is least stable? Easy: w.

=====

--- w ---
Compound: SnHgSO
Source: OQMD
Functional: PBE
Structure: optimized geometry

Summary:
Space-group type: P6_3mc, No. 186
ρ in g/cm³: 7.19

Cell lengths 3.9136, 3.9135, 12.8001 Å; angles 90.00, 90.00, 120.00 degrees
Positions (direct):
Hg 0.3333 0.6667 0.2532
Hg 0.6667 0.3333 0.7532
O 0.0000 0.0000 0.3287
O 0.0000 0.0000 0.8287
S 0.6667 0.3334 0.1143
S 0.3333 0.6666 0.6143
Sn 0.0000 0.0000 0.4915
Sn 0.0000 0.0000 0.9915

=====

--- x ---
Compound: SnHgSO
Source: OQMD
Functional: PBE
Structure: optimized geometry

Summary:
Space-group type: Cmc2_1, No. 36
ρ in g/cm³: 5.79

Cell lengths 10.5694, 10.5694, 5.4145 Å; angles 90.00, 90.00, 20.40 degrees
Positions (direct):
Hg 0.7316 0.7316 0.4745
Hg 0.2684 0.2684 0.9745
O 0.9667 0.9667 0.0293
O 0.0333 0.0333 0.5293
S 0.6213 0.6213 0.0018
S 0.3787 0.3787 0.5018
Sn 0.9456 0.9456 0.3869
Sn 0.0544 0.0544 0.8869

=====

--- y ---
Compound: SnHgSO
Source: OQMD
Functional: PBE
Structure: optimized geometry

Summary:
Space-group type: Cmcm, No. 63
ρ in g/cm³: 6.40

Cell lengths 7.4530, 7.4530, 6.8913 Å; angles 90.00, 90.00, 150.14 degrees
Positions (direct):
Hg 0.6472 0.3528 0.2500
Hg 0.3528 0.6472 0.7500
O 0.0000 0.0000 0.0000
O 0.0000 0.0000 0.5000
S 0.3275 0.6725 0.2500
S 0.6725 0.3275 0.7500
Sn 0.9330 0.0670 0.2500
Sn 0.0670 0.9330 0.7500

=====

Which of them is least stable? Easy: w.